A geometry-optimized Ac2Tb3Sm structure. Source: the Alexandria database, functional GGA-PBE.

Geometry as CIF:
```
data_Ac2Tb3Sm
_chemical_formula_sum 'Ac8 Tb12 Sm4'
_space_group_name_H-M_alt 'C 1 2/c 1'
_space_group_IT_number 15
_cell_length_a 16.355
_cell_length_b 7.557
_cell_length_c 7.501
_cell_angle_alpha 90.00
_cell_angle_beta 103.27
_cell_angle_gamma 90.00
loop_
_space_group_symop_operation_xyz
'x,y,z'
'-x,-y,-z'
'-x,y,-z+1/2'
'x,-y,z+1/2'
'x+1/2,y+1/2,z'
'-x+1/2,-y+1/2,-z'
'-x+1/2,y+1/2,-z+1/2'
'x+1/2,-y+1/2,z+1/2'
loop_
_atom_site_label
_atom_site_fract_x
_atom_site_fract_y
_atom_site_fract_z
Ac1 0.183 0.002 0.093
Tb1 0.000 0.212 0.250
Tb2 0.116 0.499 0.557
Sm1 0.000 0.210 0.750
```

Properties
* N(E_F): 1.401 states/eV per atom
* energy relative to the elements: 139 meV per atom